A plane-wave DFT calculation with PBE with a Hubbard U was carried out for a relaxed TbUMoO6 crystal.

```
data_TbUMoO6
_cell_length_a 5.7294
_cell_length_b 5.7294
_cell_length_c 8.8630
_cell_angle_alpha 90.00
_cell_angle_beta 90.00
_cell_angle_gamma 120.00
_space_group_name_H-M_alt 'P -3 1 c'
_space_group_IT_number 163
_space_group_name_Hall '-P 3 2c'
loop_
_atom_site_label
_atom_site_type_symbol
_atom_site_fract_x
_atom_site_fract_y
_atom_site_fract_z
_atom_site_occupancy
Tb1 Tb 0.3333 0.6667 0.2500 1
U1 U 0.3333 0.6667 0.7500 1
Mo1 Mo 0.0000 0.0000 0.0000 1
O1 O 0.0258 0.3451 0.6283 1
```

Raw total energy (eV/f.u.): -77.38
Size of the total moment (μB per cell): 6.000